Record 1
DFT (PBE) results for a geometry-optimized AsRh2Au structure.

energy of formation from the pure elements	-0.527	eV/f.u.
SG	P4/mmm, No. 123
DOS at the Fermi energy	3.02	states/eV/cell

Lattice parameters (Å, degrees): 2.979 2.979 6.989 90.00 90.00 90.00
Fractional coordinates of all 4 atoms:
As: 0.000 0.000 0.000
Rh: 0.500 0.500 0.210
Rh: 0.500 0.500 0.790
Au: 0.000 0.000 0.500


Record 2
DFT (PBE) results for a geometry-optimized AsRhAu2 structure.

energy of formation from the pure elements	0.725	eV/f.u.
SG	I-42d, No. 122
DOS at the Fermi energy	11.12	states/eV/cell

Lattice parameters (Å, degrees): 7.443 7.443 5.223 90.00 90.00 90.00
Fractional coordinates of all 16 atoms:
As: 0.000 0.000 0.000
As: 0.000 0.500 0.250
As: 0.500 0.000 0.750
As: 0.500 0.500 0.500
Rh: 0.000 0.000 0.500
Rh: 0.000 0.500 0.750
Rh: 0.500 0.000 0.250
Rh: 0.500 0.500 0.000
Au: 0.233 0.750 0.125
Au: 0.250 0.233 0.875
Au: 0.250 0.267 0.375
Au: 0.267 0.750 0.625
Au: 0.733 0.250 0.625
Au: 0.750 0.733 0.375
Au: 0.750 0.767 0.875
Au: 0.767 0.250 0.125


Record 3
DFT (PBE) results for a geometry-optimized As2RhAuSe structure.

ΔE_f (raw)	524.9	meV per atom
SG	P4/mmm, No. 123
polymorph energy (0 for the lowest one)	0	meV per atom
DOS at the Fermi energy	4.28	states/eV/cell

Lattice parameters (Å, degrees): 4.679 4.679 5.184 90.00 90.00 90.00
Fractional coordinates of all 5 atoms:
As: 0.000 0.500 0.000
As: 0.500 0.000 0.000
Rh: 0.000 0.000 0.000
Au: 0.500 0.500 0.500
Se: 0.000 0.000 0.500


Record 4
DFT (PBE) results for a geometry-optimized AsRhAuSe2 structure.

ΔE_f (raw)	541.9	meV per atom
SG	P4/mmm, No. 123
polymorph energy (0 for the lowest one)	0	meV per atom
DOS at the Fermi energy	5.77	states/eV/cell

Lattice parameters (Å, degrees): 5.006 5.006 4.589 90.00 90.00 90.00
Fractional coordinates of all 5 atoms:
As: 0.000 0.000 0.000
Rh: 0.000 0.000 0.500
Au: 0.500 0.500 0.000
Se: 0.000 0.500 0.500
Se: 0.500 0.000 0.500


Record 5
DFT (PBE) results for a geometry-optimized SmAs2Rh5Au structure.

energy of formation from the pure elements	-2.895	eV/f.u.
SG	P4/mmm, No. 123
DOS at the Fermi energy	6.54	states/eV/cell

Lattice parameters (Å, degrees): 4.231 4.231 8.726 90.00 90.00 90.00
Fractional coordinates of all 9 atoms:
Sm: 0.000 0.000 0.000
As: 0.500 0.500 0.360
As: 0.500 0.500 0.640
Rh: 0.000 0.500 0.237
Rh: 0.000 0.500 0.763
Rh: 0.500 0.000 0.237
Rh: 0.500 0.000 0.763
Rh: 0.500 0.500 0.000
Au: 0.000 0.000 0.500


Record 6
DFT (PBE) results for a geometry-optimized Sm2As3Rh4Au structure.

energy of formation from the pure elements	-7.885	eV/f.u.
SG	P-4m2, No. 115
DOS at the Fermi energy	3.73	states/eV/cell

Lattice parameters (Å, degrees): 4.094 4.094 11.115 90.00 90.00 90.00
Fractional coordinates of all 10 atoms:
Sm: 0.000 0.500 0.245
Sm: 0.500 0.000 0.755
As: 0.000 0.000 0.000
As: 0.000 0.500 0.628
As: 0.500 0.000 0.372
Rh: 0.000 0.000 0.500
Rh: 0.000 0.500 0.839
Rh: 0.500 0.000 0.161
Rh: 0.500 0.500 0.500
Au: 0.500 0.500 0.000


Record 7
DFT (PBE) results for a geometry-optimized Tb2As3Rh4Au structure.

energy of formation from the pure elements	-7.800	eV/f.u.
SG	P-4m2, No. 115
DOS at the Fermi energy	3.96	states/eV/cell

Lattice parameters (Å, degrees): 4.047 4.047 11.201 90.00 90.00 90.00
Fractional coordinates of all 10 atoms:
Tb: 0.000 0.500 0.243
Tb: 0.500 0.000 0.757
As: 0.000 0.000 0.000
As: 0.000 0.500 0.628
As: 0.500 0.000 0.372
Rh: 0.000 0.000 0.500
Rh: 0.000 0.500 0.836
Rh: 0.500 0.000 0.164
Rh: 0.500 0.500 0.500
Au: 0.500 0.500 0.000


Record 8
DFT (PBE) results for a geometry-optimized AsRhWAu2 structure.

energy of formation from the pure elements	6.864	eV/f.u.
SG	P4/mmm, No. 123
DOS at the Fermi energy	3.91	states/eV/cell

Lattice parameters (Å, degrees): 5.079 5.079 4.432 90.00 90.00 90.00
Fractional coordinates of all 5 atoms:
As: 0.000 0.000 0.000
Rh: 0.000 0.000 0.500
W: 0.500 0.500 0.000
Au: 0.000 0.500 0.500
Au: 0.500 0.000 0.500